Record 1
Entry from the Alexandria database: a geometry-optimized Sr2Bi2O5 structure (PBEsol).

a b c (Å): 7.3583 6.1706 7.6292
angles (deg): 90.00 104.64 90.00
Positions (direct):
Sr: 0.1030 0.2500 0.1488
Sr: 0.1309 0.2500 0.6573
Sr: 0.8691 0.7500 0.3427
Sr: 0.8970 0.7500 0.8512
Bi: 0.3716 0.7500 0.4779
Bi: 0.3893 0.7500 0.9633
Bi: 0.6107 0.2500 0.0367
Bi: 0.6284 0.2500 0.5221
O: 0.1727 0.5075 0.4092
O: 0.1727 0.9925 0.4092
O: 0.1884 0.5074 0.9284
O: 0.1884 0.9926 0.9284
O: 0.4945 0.7500 0.2515
O: 0.5055 0.2500 0.7485
O: 0.8116 0.0074 0.0716
O: 0.8116 0.4926 0.0716
O: 0.8273 0.0075 0.5908
O: 0.8273 0.4925 0.5908

Computed properties:
M_tot in Bohr magnetons per cell: 0.00
E_form (uncorrected) in kJ per mole of atoms: -189.8
Raw total energy in eV per atom: -6.24
DOS(E_F) in states/eV/f.u.: 0.0

=====

Record 2
Entry from the Alexandria database: a geometry-optimized GaH2Rh2 structure (PBEsol).

a b c (Å): 5.6583 5.6583 5.6583
angles (deg): 149.60 149.60 43.53
Positions (direct):
Ga: 0.0000 0.0000 0.0000
H: 0.2500 0.7500 0.5000
H: 0.7500 0.2500 0.5000
Rh: 0.3585 0.3585 0.0000
Rh: 0.6415 0.6415 0.0000

Computed properties:
M_tot in Bohr magnetons per cell: 0.00
Raw total energy in eV per atom: -5.57
DOS(E_F) in states/eV/f.u.: 1.5

=====

Record 3
Entry from the Alexandria database: a geometry-optimized CsNiRuI2 structure (PBEsol).

a b c (Å): 5.4971 5.4971 4.5948
angles (deg): 90.00 90.00 90.00
Positions (direct):
Cs: 0.0000 0.0000 0.0000
Ni: 0.5000 0.5000 0.0000
Ru: 0.5000 0.5000 0.5000
I: 0.0000 0.5000 0.5000
I: 0.5000 0.0000 0.5000

Computed properties:
M_tot in Bohr magnetons per cell: 0.00
E_form (uncorrected) in kJ per mole of atoms: 18.9
Raw total energy in eV per atom: -3.97
DOS(E_F) in states/eV/f.u.: 6.1

=====

Record 4
Entry from the Alexandria database: a geometry-optimized Ta2AgPt structure (PBEsol).

a b c (Å): 5.0096 5.0096 2.7923
angles (deg): 90.00 90.00 111.84
Positions (direct):
Ta: 0.0000 0.5000 0.0000
Ta: 0.5000 0.0000 0.0000
Ag: 0.0000 0.0000 0.5000
Pt: 0.5000 0.5000 0.5000

Computed properties:
M_tot in Bohr magnetons per cell: 0.00
Energy of formation in eV per atom: -0.1593
Raw total energy in eV per atom: -9.00
DOS(E_F) in states/eV/f.u.: 2.3

=====

Record 5
Entry from the Alexandria database: a geometry-optimized CrCuTe2N structure (PBEsol).

a b c (Å): 5.1805 5.1805 3.4588
angles (deg): 90.00 90.00 90.00
Positions (direct):
Cr: 0.0000 0.0000 0.0000
Cu: 0.5000 0.5000 0.5000
Te: 0.0000 0.5000 0.0000
Te: 0.5000 0.0000 0.0000
N: 0.0000 0.0000 0.5000

Computed properties:
M_tot in Bohr magnetons per cell: 0.98
E_form (uncorrected) in kJ per mole of atoms: 29.9
Raw total energy in eV per atom: -5.72
DOS(E_F) in states/eV/f.u.: 3.2

=====

Record 6
Entry from the Alexandria database: a geometry-optimized Na2LaPCO7 structure (PBEsol).

a b c (Å): 5.1876 7.0786 9.4254
angles (deg): 90.00 90.41 90.00
Positions (direct):
Na: 0.2416 0.0083 0.1947
Na: 0.2416 0.4917 0.1947
Na: 0.7584 0.5083 0.8053
Na: 0.7584 0.9917 0.8053
La: 0.2905 0.2500 0.5920
La: 0.7095 0.7500 0.4080
P: 0.2195 0.7500 0.5983
P: 0.7805 0.2500 0.4017
C: 0.2682 0.2500 0.8997
C: 0.7318 0.7500 0.1003
O: 0.0611 0.2500 0.3493
O: 0.0638 0.2500 0.8156
O: 0.2024 0.7500 0.4318
O: 0.2494 0.2500 0.0331
O: 0.3764 0.5740 0.6433
O: 0.3764 0.9260 0.6433
O: 0.4890 0.2500 0.8338
O: 0.5110 0.7500 0.1662
O: 0.6236 0.0740 0.3567
O: 0.6236 0.4260 0.3567
O: 0.7506 0.7500 0.9669
O: 0.7976 0.2500 0.5682
O: 0.9362 0.7500 0.1844
O: 0.9389 0.7500 0.6507

Computed properties:
M_tot in Bohr magnetons per cell: 0.00
E_form (uncorrected) in kJ per mole of atoms: -227.9
Raw total energy in eV per atom: -7.39
DOS(E_F) in states/eV/f.u.: 0.0

=====

Record 7
Entry from the Alexandria database: a geometry-optimized La2TePt2 structure (PBEsol).

a b c (Å): 8.5882 8.5882 8.5882
angles (deg): 153.27 153.27 38.16
Positions (direct):
La: 0.1201 0.1201 0.0000
La: 0.8799 0.8799 0.0000
Te: 0.5000 0.5000 0.0000
Pt: 0.2500 0.7500 0.5000
Pt: 0.7500 0.2500 0.5000

Computed properties:
M_tot in Bohr magnetons per cell: 0.00
E_form (uncorrected) in kJ per mole of atoms: -110.4
Raw total energy in eV per atom: -6.77
Excess energy over the best structure of this formula in the dataset in kJ per mole of atoms: 5.6
DOS(E_F) in states/eV/f.u.: 3.0

=====

Record 8
Entry from the Alexandria database: a geometry-optimized Sc4CdSe structure (PBEsol).

a b c (Å): 5.7385 5.7385 5.7385
angles (deg): 60.00 60.00 60.00
Positions (direct):
Sc: 0.1242 0.1242 0.1242
Sc: 0.1242 0.1242 0.6273
Sc: 0.1242 0.6273 0.1242
Sc: 0.6273 0.1242 0.1242
Cd: 0.7500 0.7500 0.7500
Se: 0.5000 0.5000 0.5000

Computed properties:
M_tot in Bohr magnetons per cell: 0.00
E_form (uncorrected) in kJ per mole of atoms: 10.9
Raw total energy in eV per atom: -5.13
DOS(E_F) in states/eV/f.u.: 8.6

=====

Record 9
Entry from the Alexandria database: a geometry-optimized TaFe2Co structure (PBEsol).

a b c (Å): 3.5963 3.5963 3.6414
angles (deg): 90.00 90.00 90.00
Positions (direct):
Ta: 0.0000 0.0000 0.0000
Fe: 0.0000 0.5000 0.5000
Fe: 0.5000 0.0000 0.5000
Co: 0.5000 0.5000 0.0000

Computed properties:
M_tot in Bohr magnetons per cell: 2.01
Energy of formation in eV per atom: -0.1276
Raw total energy in eV per atom: -9.68
DOS(E_F) in states/eV/f.u.: 4.3

=====

Record 10
Entry from the Alexandria database: a geometry-optimized SrCr3Mo structure (PBEsol).

a b c (Å): 4.5000 4.5000 4.5000
angles (deg): 90.00 90.00 90.00
Positions (direct):
Sr: 0.0000 0.0000 0.0000
Cr: 0.0000 0.0000 0.5000
Cr: 0.0000 0.5000 0.0000
Cr: 0.5000 0.0000 0.0000
Mo: 0.5000 0.5000 0.5000

Computed properties:
M_tot in Bohr magnetons per cell: 5.49
Energy of formation in eV per atom: 2.8736
Raw total energy in eV per atom: -5.99
DOS(E_F) in states/eV/f.u.: 5.3

=====

Record 11
Entry from the Alexandria database: a geometry-optimized Cd4ReCl structure (PBEsol).

a b c (Å): 5.5047 5.5047 5.5047
angles (deg): 60.00 60.00 60.00
Positions (direct):
Cd: 0.1241 0.1241 0.1241
Cd: 0.1241 0.1241 0.6277
Cd: 0.1241 0.6277 0.1241
Cd: 0.6277 0.1241 0.1241
Re: 0.7500 0.7500 0.7500
Cl: 0.5000 0.5000 0.5000

Computed properties:
M_tot in Bohr magnetons per cell: 0.00
E_form (uncorrected) in kJ per mole of atoms: 75.9
Raw total energy in eV per atom: -2.57

=====

Record 12
Entry from the Alexandria database: a geometry-optimized HgH2Au structure (PBEsol).

a b c (Å): 4.0455 4.0455 4.0455
angles (deg): 60.00 60.00 60.00
Positions (direct):
Hg: 0.0000 0.0000 0.0000
H: 0.2500 0.2500 0.2500
H: 0.7500 0.7500 0.7500
Au: 0.5000 0.5000 0.5000

Computed properties:
M_tot in Bohr magnetons per cell: 0.00
Raw total energy in eV per atom: -1.96
DOS(E_F) in states/eV/f.u.: 1.0